VASP calculation (GGA-PBE) on crystalline InTePCl2 at its relaxed geometry.

The space group is P4/mmm (No. 123) and the conventional cell measures 5.008, 5.008 and 5.585 Å, with angles of 90.00, 90.00 and 90.00 degrees. The asymmetric unit holds In at (0.000, 0.000, 0.000), Te at (0.500, 0.500, 0.500), P at (0.000, 0.000, 0.500) and Cl at (0.000, 0.500, 0.000).

Its final energy is -14.426 eV per cell.